Material: Li4Np3RhSe8
Method: DFT, PBE-GGA
State: relaxed

formation energy without anion corrections	-1.026	eV per atom
Fermi-level density of states	1.5157	states/eV/atom

Geometry as CIF:
```
data_Li4Np3RhSe8
_symmetry_space_group_name_H-M 'C 1 2/m 1'
_symmetry_Int_Tables_number 12
_cell_length_a 13.686
_cell_length_b 7.864
_cell_length_c 7.984
_cell_angle_alpha 90.00
_cell_angle_beta 124.81
_cell_angle_gamma 90.00
loop_
_symmetry_equiv_pos_as_xyz
'x,y,z'
'-x,-y,-z'
'-x,y,-z'
'x,-y,z'
'x+1/2,y+1/2,z'
'-x+1/2,-y+1/2,-z'
'-x+1/2,y+1/2,-z'
'x+1/2,-y+1/2,z'
loop_
_atom_site_label
_atom_site_type_symbol
_atom_site_fract_x
_atom_site_fract_y
_atom_site_fract_z
Li1 Li 0.000 0.000 0.000
Li2 Li 0.000 0.500 0.000
Li3 Li 0.250 0.250 0.000
Np1 Np 0.000 0.000 0.500
Np2 Np 0.250 0.250 0.500
Rh1 Rh 0.000 0.500 0.500
Se1 Se 0.004 0.265 0.748
Se2 Se 0.240 0.500 0.748
Se3 Se 0.245 0.500 0.236
```



Material: Li3Np2RhSe6
Method: DFT, PBE-GGA
State: relaxed

formation energy without anion corrections	-1.014	eV per atom
Fermi-level density of states	1.3214	states/eV/atom

Geometry as CIF:
```
data_Li3Np2RhSe6
_symmetry_space_group_name_H-M 'C 1 2/m 1'
_symmetry_Int_Tables_number 12
_cell_length_a 6.720
_cell_length_b 11.614
_cell_length_c 6.938
_cell_angle_alpha 90.00
_cell_angle_beta 108.61
_cell_angle_gamma 90.00
loop_
_symmetry_equiv_pos_as_xyz
'x,y,z'
'-x,-y,-z'
'-x,y,-z'
'x,-y,z'
'x+1/2,y+1/2,z'
'-x+1/2,-y+1/2,-z'
'-x+1/2,y+1/2,-z'
'x+1/2,-y+1/2,z'
loop_
_atom_site_label
_atom_site_type_symbol
_atom_site_fract_x
_atom_site_fract_y
_atom_site_fract_z
Li1 Li 0.000 0.000 0.000
Li2 Li 0.000 0.337 0.000
Np1 Np 0.000 0.168 0.500
Rh1 Rh 0.000 0.500 0.500
Se1 Se 0.230 0.500 0.255
Se2 Se 0.239 0.345 0.752
```



Material: LiNpRu2
Method: DFT, PBE-GGA
State: relaxed

Fermi-level density of states	1.0655	states/eV/atom
total DFT energy (no corrections)	-33.272	eV for the cell shown

Geometry as CIF:
```
data_LiNpRu2
_symmetry_space_group_name_H-M 'P 4/m m m'
_symmetry_Int_Tables_number 123
_symmetry_space_group_name_Hall '-P 4 2'
_cell_length_a 3.282
_cell_length_b 3.282
_cell_length_c 5.898
_cell_angle_alpha 90.00
_cell_angle_beta 90.00
_cell_angle_gamma 90.00
loop_
_atom_site_label
_atom_site_type_symbol
_atom_site_fract_x
_atom_site_fract_y
_atom_site_fract_z
Li1 Li 0.000 0.000 0.000
Np1 Np 0.000 0.000 0.500
Ru1 Ru 0.500 0.500 0.251
```



Material: LiNpRu2
Method: DFT, PBE-GGA
State: relaxed

Fermi-level density of states	1.7687	states/eV/atom
total DFT energy (no corrections)	-134.501	eV for the cell shown

Geometry as CIF:
```
data_LiNpRu2
_symmetry_space_group_name_H-M 'F m -3 m'
_symmetry_Int_Tables_number 225
_symmetry_space_group_name_Hall '-F 4 2 3'
_cell_length_a 6.305
_cell_length_b 6.305
_cell_length_c 6.305
_cell_angle_alpha 90.00
_cell_angle_beta 90.00
_cell_angle_gamma 90.00
loop_
_atom_site_label
_atom_site_type_symbol
_atom_site_fract_x
_atom_site_fract_y
_atom_site_fract_z
Li1 Li 0.000 0.000 0.000
Np1 Np 0.000 0.000 0.500
Ru1 Ru 0.250 0.250 0.250
```



Material: LiNpRu2
Method: DFT, PBE-GGA
State: relaxed

Fermi-level density of states	1.3654	states/eV/atom
total DFT energy (no corrections)	-33.548	eV for the cell shown

Geometry as CIF:
```
data_LiNpRu2
_symmetry_space_group_name_H-M 'P 4/m m m'
_symmetry_Int_Tables_number 123
_symmetry_space_group_name_Hall '-P 4 2'
_cell_length_a 4.166
_cell_length_b 4.166
_cell_length_c 3.564
_cell_angle_alpha 90.00
_cell_angle_beta 90.00
_cell_angle_gamma 90.00
loop_
_atom_site_label
_atom_site_type_symbol
_atom_site_fract_x
_atom_site_fract_y
_atom_site_fract_z
Li1 Li 0.000 0.000 0.000
Np1 Np 0.500 0.500 0.000
Ru1 Ru 0.000 0.500 0.500
```



Material: Li3Np3RuS8
Method: DFT, PBE-GGA
State: relaxed

formation energy without anion corrections	-1.182	eV per atom
Fermi-level density of states	1.5882	states/eV/atom

Geometry as CIF:
```
data_Li3Np3RuS8
_symmetry_space_group_name_H-M 'R -3 m'
_symmetry_Int_Tables_number 166
_symmetry_space_group_name_Hall '-R 3 2"'
_cell_length_a 7.4525
_cell_length_b 7.4525
_cell_length_c 18.9296
_cell_angle_alpha 90.00
_cell_angle_beta 90.00
_cell_angle_gamma 120.00
loop_
_atom_site_label
_atom_site_type_symbol
_atom_site_fract_x
_atom_site_fract_y
_atom_site_fract_z
Li1 Li 0.0000 0.5000 0.0000
Np1 Np 0.0000 0.5000 0.5000
Ru1 Ru 0.0000 0.0000 0.5000
S1 S 0.0000 0.0000 0.2535
S2 S 0.0263 0.5131 0.2460
```